The following is a DFT calculation (PBE) of Tb2SnSb4 after structural relaxation.

```
7
Lattice="-2.351 -3.414 1.142 2.299 -2.474 -2.661 7.285 -2.221 8.359" Properties=species:S:1:pos:R:3 pbc="T T T"
Tb 4.025 -3.293 6.538
Tb 3.234 -1.872 1.061
Sn -0.026 -2.944 -0.760
Sb 0.228 -2.135 2.181
Sb 7.031 -3.030 5.418
Sb 3.617 -4.054 3.420
Sb 3.642 -1.111 4.179
```

Results
space group	No. 115
DOS(E_F)	0.281	states/eV/atom
DFT total energy	-33.922	eV per formula unit
formation energy (no corrections)	-0.596	eV/atom